Record 1
# CeSmErTh | the Alexandria database | GGA-PBE | optimized geometry
data_CeSmErTh
_cell_length_a 7.9972
_cell_length_b 7.9972
_cell_length_c 7.9972
_cell_angle_alpha 90.00
_cell_angle_beta 90.00
_cell_angle_gamma 90.00
_symmetry_space_group_name_H-M 'F -4 3 m'
_symmetry_Int_Tables_number 216
_symmetry_space_group_name_Hall 'F -4 2 3'
loop_
_atom_site_label
_atom_site_type_symbol
_atom_site_fract_x
_atom_site_fract_y
_atom_site_fract_z
Ce1 Ce 0.0000 0.0000 0.0000
Sm1 Sm 0.2500 0.2500 0.7500
Er1 Er 0.0000 0.0000 0.5000
Th1 Th 0.2500 0.2500 0.2500
# Formation enthalpy at 0 K, meV/atom: 224
# Theoretical density, kg/m³: 8958
# Volume, Å³ per cell: 511
# Energy above the most stable polymorph in this dataset, meV/atom: 188.4
# E_tot, eV for the cell shown: -86.96
# Crystal system: cubic

Record 2
# Hf2TaGe4 | the Alexandria database | GGA-PBE | optimized geometry
data_Hf2TaGe4
_cell_length_a 4.9064
_cell_length_b 4.9064
_cell_length_c 13.3524
_cell_angle_alpha 90.00
_cell_angle_beta 90.00
_cell_angle_gamma 90.00
_symmetry_space_group_name_H-M 'I 4/m m m'
_symmetry_Int_Tables_number 139
_symmetry_space_group_name_Hall '-I 4 2'
loop_
_atom_site_label
_atom_site_type_symbol
_atom_site_fract_x
_atom_site_fract_y
_atom_site_fract_z
Hf1 Hf 0.0000 0.0000 0.1074
Ta1 Ta 0.0000 0.0000 0.5000
Ge1 Ge 0.0000 0.0000 0.3057
Ge2 Ge 0.0000 0.5000 0.0000
# Formation enthalpy at 0 K, meV/atom: 211
# Theoretical density, kg/m³: 8560
# Volume, Å³ per cell: 321
# E_tot, eV for the cell shown: -97.51
# Crystal system: tetragonal

Record 3
# Nd4SmErTm2 | the Alexandria database | GGA-PBE | optimized geometry
data_Nd4SmErTm2
_cell_length_a 5.1170
_cell_length_b 5.1365
_cell_length_c 10.0569
_cell_angle_alpha 90.00
_cell_angle_beta 90.00
_cell_angle_gamma 90.00
_symmetry_space_group_name_H-M 'P m m m'
_symmetry_Int_Tables_number 47
loop_
_symmetry_equiv_pos_as_xyz
'x,y,z'
'-x,-y,-z'
'-x,-y,z'
'x,y,-z'
'x,-y,-z'
'-x,y,z'
'-x,y,-z'
'x,-y,z'
loop_
_atom_site_label
_atom_site_type_symbol
_atom_site_fract_x
_atom_site_fract_y
_atom_site_fract_z
Nd1 Nd 0.0000 0.0000 0.2484
Nd2 Nd 0.5000 0.5000 0.2478
Sm1 Sm 0.0000 0.5000 0.5000
Er1 Er 0.5000 0.0000 0.0000
Tm1 Tm 0.0000 0.5000 0.0000
Tm2 Tm 0.5000 0.0000 0.5000
# Formation enthalpy at 0 K, meV/atom: 16
# Theoretical density, kg/m³: 7742
# Volume, Å³ per cell: 264
# E_tot, eV for the cell shown: -37.17
# Crystal system: orthorhombic

Record 4
# LaPuAlAg | the Alexandria database | GGA-PBE | optimized geometry
data_LaPuAlAg
_cell_length_a 7.4880
_cell_length_b 7.4880
_cell_length_c 7.4880
_cell_angle_alpha 90.00
_cell_angle_beta 90.00
_cell_angle_gamma 90.00
_symmetry_space_group_name_H-M 'F -4 3 m'
_symmetry_Int_Tables_number 216
_symmetry_space_group_name_Hall 'F -4 2 3'
loop_
_atom_site_label
_atom_site_type_symbol
_atom_site_fract_x
_atom_site_fract_y
_atom_site_fract_z
La1 La 0.0000 0.0000 0.0000
Pu1 Pu 0.0000 0.0000 0.5000
Al1 Al 0.2500 0.2500 0.2500
Ag1 Ag 0.2500 0.2500 0.7500
# Formation enthalpy at 0 K, meV/atom: -85
# Theoretical density, kg/m³: 8191
# Volume, Å³ per cell: 420
# E_tot, eV for the cell shown: -104.78
# Crystal system: cubic

Record 5
# OsRhAu3 | the Alexandria database | GGA-PBE | optimized geometry
data_OsRhAu3
_cell_length_a 4.9471
_cell_length_b 4.9471
_cell_length_c 4.9471
_cell_angle_alpha 90.00
_cell_angle_beta 90.00
_cell_angle_gamma 90.00
_symmetry_space_group_name_H-M 'P m -3 m'
_symmetry_Int_Tables_number 221
_symmetry_space_group_name_Hall '-P 4 2 3'
loop_
_atom_site_label
_atom_site_type_symbol
_atom_site_fract_x
_atom_site_fract_y
_atom_site_fract_z
Os1 Os 0.0000 0.0000 0.0000
Rh1 Rh 0.5000 0.5000 0.5000
Au1 Au 0.0000 0.0000 0.5000
# Formation enthalpy at 0 K, meV/atom: 1742
# Theoretical density, kg/m³: 12124
# Volume, Å³ per cell: 121
# Energy above the most stable polymorph in this dataset, meV/atom: 0.0
# E_tot, eV for the cell shown: -19.71
# Crystal system: cubic

Record 6
# AlV2Cr8 | the Alexandria database | GGA-PBE | optimized geometry
data_AlV2Cr8
_cell_length_a 2.8572
_cell_length_b 6.5061
_cell_length_c 7.8896
_cell_angle_alpha 73.11
_cell_angle_beta 89.90
_cell_angle_gamma 89.75
_symmetry_space_group_name_H-M 'P 1'
_symmetry_Int_Tables_number 1
loop_
_symmetry_equiv_pos_as_xyz
'x,y,z'
loop_
_atom_site_label
_atom_site_type_symbol
_atom_site_fract_x
_atom_site_fract_y
_atom_site_fract_z
Al1 Al 0.0000 0.0000 0.0000
V1 V 0.0031 0.3238 0.1930
V2 V 0.5202 0.6746 0.6122
Cr1 Cr 0.0006 0.3351 0.6948
Cr2 Cr 0.0083 0.6731 0.3563
Cr3 Cr 0.0162 0.6706 0.8631
Cr4 Cr 0.0374 0.0136 0.5366
Cr5 Cr 0.4967 0.3440 0.9323
Cr6 Cr 0.4965 0.9945 0.2858
Cr7 Cr 0.5065 0.6580 0.1081
Cr8 Cr 0.5128 0.3369 0.4460
# Formation enthalpy at 0 K, meV/atom: 157
# Theoretical density, kg/m³: 6447
# Volume, Å³ per cell: 140
# E_tot, eV for the cell shown: -97.24
# Crystal system: triclinic

Record 7
# Cd2CoAu2 | the Alexandria database | GGA-PBE | optimized geometry
data_Cd2CoAu2
_cell_length_a 6.8322
_cell_length_b 6.8322
_cell_length_c 4.1487
_cell_angle_alpha 90.00
_cell_angle_beta 90.00
_cell_angle_gamma 90.00
_symmetry_space_group_name_H-M 'P 4/m b m'
_symmetry_Int_Tables_number 127
_symmetry_space_group_name_Hall '-P 4 2ab'
loop_
_atom_site_label
_atom_site_type_symbol
_atom_site_fract_x
_atom_site_fract_y
_atom_site_fract_z
Cd1 Cd 0.1651 0.3349 0.0000
Co1 Co 0.0000 0.0000 0.5000
Au1 Au 0.1443 0.6443 0.5000
# Formation enthalpy at 0 K, meV/atom: 185
# Theoretical density, kg/m³: 11622
# Volume, Å³ per cell: 194
# E_tot, eV for the cell shown: -29.13
# Crystal system: tetragonal

Record 8
# MnZnMo2 | the Alexandria database | GGA-PBE | optimized geometry
data_MnZnMo2
_cell_length_a 3.2203
_cell_length_b 4.2790
_cell_length_c 8.5091
_cell_angle_alpha 90.00
_cell_angle_beta 90.00
_cell_angle_gamma 90.00
_symmetry_space_group_name_H-M 'C m m 2'
_symmetry_Int_Tables_number 35
loop_
_symmetry_equiv_pos_as_xyz
'x,y,z'
'-x,-y,z'
'-x,y,z'
'x,-y,z'
'x+1/2,y+1/2,z'
'-x+1/2,-y+1/2,z'
'-x+1/2,y+1/2,z'
'x+1/2,-y+1/2,z'
loop_
_atom_site_label
_atom_site_type_symbol
_atom_site_fract_x
_atom_site_fract_y
_atom_site_fract_z
Mn1 Mn 0.0000 0.0000 0.0000
Zn1 Zn 0.0000 0.5000 0.2380
Mo1 Mo 0.0000 0.0000 0.4993
Mo2 Mo 0.0000 0.5000 0.7640
# Formation enthalpy at 0 K, meV/atom: 113
# Theoretical density, kg/m³: 8844
# Volume, Å³ per cell: 117
# E_tot, eV for the cell shown: -63.30
# Crystal system: orthorhombic

Record 9
# SrCdGeOs2 | the Alexandria database | GGA-PBE | optimized geometry
data_SrCdGeOs2
_cell_length_a 4.6593
_cell_length_b 4.6593
_cell_length_c 5.4070
_cell_angle_alpha 90.00
_cell_angle_beta 90.00
_cell_angle_gamma 90.00
_symmetry_space_group_name_H-M 'P 4/m m m'
_symmetry_Int_Tables_number 123
_symmetry_space_group_name_Hall '-P 4 2'
loop_
_atom_site_label
_atom_site_type_symbol
_atom_site_fract_x
_atom_site_fract_y
_atom_site_fract_z
Sr1 Sr 0.0000 0.0000 0.0000
Cd1 Cd 0.5000 0.5000 0.0000
Ge1 Ge 0.0000 0.0000 0.5000
Os1 Os 0.0000 0.5000 0.5000
# Formation enthalpy at 0 K, meV/atom: 1027
# Theoretical density, kg/m³: 9240
# Volume, Å³ per cell: 117
# E_tot, eV for the cell shown: -24.54
# Crystal system: tetragonal